VASP calculation (SCAN) on Mg2AlSb at its PBEsol-relaxed geometry.

The structure in CIF format:
```
data_Mg2AlSb
_cell_length_a 9.492
_cell_length_b 3.345
_cell_length_c 5.601
_cell_angle_alpha 90.00
_cell_angle_beta 102.22
_cell_angle_gamma 90.00
_symmetry_space_group_name_H-M 'C 1 2/m 1'
_symmetry_Int_Tables_number 12
loop_
_symmetry_equiv_pos_as_xyz
'x,y,z'
'-x,-y,-z'
'-x,y,-z'
'x,-y,z'
'x+1/2,y+1/2,z'
'-x+1/2,-y+1/2,-z'
'-x+1/2,y+1/2,-z'
'x+1/2,-y+1/2,z'
loop_
_atom_site_label
_atom_site_type_symbol
_atom_site_fract_x
_atom_site_fract_y
_atom_site_fract_z
_atom_site_occupancy
Mg1 Mg 0.246 0.000 0.230 1
Al1 Al 0.000 0.500 0.000 1
Sb1 Sb 0.000 0.000 0.500 1
```

Energy relative to the elements, uncorrected   -48 meV per atom
Energy relative to the lowest polymorph listed for this composition   0.026 eV per atom
DOS at the Fermi energy   2.21 states/eV/cell
Raw total energy   -13.788 eV per atom